1.
Density functional theory data (PBE) for crystalline Ba2AgSb3Pd4 at its relaxed geometry.

- density of states at the Fermi level (states/eV/f.u.) = 5.25
- E_form (uncorrected) (eV/atom) = -0.72
- volume (Å³/atom) = 24.5
- total energy (eV per atom) = -4.70

Cell: 4.7540 4.7540 10.8275 Å, 90.00 90.00 90.00°
Positions (direct):
1 Ba 0.5000 0.0000 0.2518
2 Pd 0.0000 0.0000 0.0000
3 Ba 0.0000 0.5000 0.7482
4 Sb 0.0000 0.5000 0.1239
5 Pd 0.5000 0.5000 0.0000
6 Pd 0.0000 0.5000 0.3718
7 Pd 0.5000 0.0000 0.6282
8 Sb 0.0000 0.0000 0.5000
9 Ag 0.5000 0.5000 0.5000
10 Sb 0.5000 0.0000 0.8761


2.
Density functional theory data (PBE) for crystalline Ba2AgSb4Pd3 at its relaxed geometry.

- density of states at the Fermi level (states/eV/f.u.) = 5.19
- E_form (uncorrected) (eV/atom) = -0.73
- volume (Å³/atom) = 25.6
- total energy (eV per atom) = -4.60

Cell: 4.8383 4.8383 10.9318 Å, 90.00 90.00 90.00°
Positions (direct):
1 Pd 0.5000 0.0000 0.8806
2 Ba 0.0000 0.5000 0.7459
3 Sb 0.5000 0.0000 0.6319
4 Pd 0.0000 0.0000 0.5000
5 Sb 0.5000 0.5000 0.0000
6 Pd 0.0000 0.5000 0.1194
7 Sb 0.0000 0.5000 0.3681
8 Ag 0.5000 0.5000 0.5000
9 Sb 0.0000 0.0000 0.0000
10 Ba 0.5000 0.0000 0.2541


3.
Density functional theory data (PBE) for crystalline BaAgSb2Pd at its relaxed geometry.

- density of states at the Fermi level (states/eV/f.u.) = 1.62
- E_form (uncorrected) (eV/atom) = -0.62
- volume (Å³/atom) = 26.6
- total energy (eV per atom) = -4.26

Cell: 4.8053 4.8053 6.6963 Å, 111.03 111.03 90.00°
Positions (direct):
1 Ba 0.0000 0.0000 0.0000
2 Ag 0.2500 0.7500 0.5000
3 Pd 0.7500 0.2500 0.5000
4 Sb 0.3713 0.3713 0.7425
5 Sb 0.6287 0.6287 0.2575


4.
Density functional theory data (PBE) for crystalline Ba2SiAgPd6 at its relaxed geometry.

- density of states at the Fermi level (states/eV/f.u.) = 3.56
- E_form (uncorrected) (eV/atom) = -0.50
- volume (Å³/atom) = 22.6
- total energy (eV per atom) = -4.83

Cell: 5.7188 8.4637 6.6087 Å, 55.99 64.37 90.00°
Positions (direct):
1 Ba 0.2318 0.6891 0.5364
2 Ba 0.7682 0.3109 0.4636
3 Pd 0.7269 0.2037 0.0352
4 Pd 0.2731 0.7963 0.9648
5 Pd 0.2458 0.1048 0.5081
6 Pd 0.7621 0.7962 0.9648
7 Si 0.0000 0.0000 0.0000
8 Ag 0.5000 0.5000 0.0000
9 Pd 0.7542 0.8952 0.4919
10 Pd 0.2379 0.2038 0.0352